(1)
{"formula": "KMgN2F", "functional": "PBE", "state": "relaxed", "lattice_angstrom": [[4.913, 0.000, 0.000], [0.000, 4.913, 0.000], [0.000, 0.000, 4.572]], "species": ["K", "Mg", "N", "N", "F"], "fractional_positions": [[0.000, 0.000, 0.000], [0.500, 0.500, 0.500], [0.000, 0.500, 0.000], [0.500, 0.000, 0.000], [0.000, 0.000, 0.500]], "e_form_raw_ev_per_atom": 1.17, "density_g_cm3": 1.7, "e_above_lowest_polymorph_mev_per_atom": 1280.1, "dft_energy_ev_per_atom": -3.072, "space_group": "No. 123"}

(2)
{"formula": "KMgN2F", "functional": "PBE", "state": "relaxed", "lattice_angstrom": [[4.353, 0.000, 0.000], [0.000, 4.353, 0.000], [0.000, 0.000, 4.134]], "species": ["K", "Mg", "N", "N", "F"], "fractional_positions": [[0.000, 0.000, 0.000], [0.500, 0.500, 0.500], [0.000, 0.500, 0.500], [0.500, 0.000, 0.500], [0.500, 0.500, 0.000]], "e_form_raw_ev_per_atom": -0.11, "density_g_cm3": 2.3, "e_above_lowest_polymorph_mev_per_atom": 0.0, "dft_energy_ev_per_atom": -4.352, "space_group": "No. 123"}

(3)
{"formula": "KNaMg2F6", "functional": "PBE", "state": "relaxed", "lattice_angstrom": [[0.000, 4.003, 4.003], [4.003, 0.000, 4.003], [4.003, 4.003, 0.000]], "species": ["K", "Na", "Mg", "Mg", "F", "F", "F", "F", "F", "F"], "fractional_positions": [[0.000, 0.000, 0.000], [0.500, 0.500, 0.500], [0.250, 0.250, 0.250], [0.750, 0.750, 0.750], [0.000, 0.000, 0.500], [0.000, 0.500, 0.000], [0.000, 0.500, 0.500], [0.500, 0.000, 0.000], [0.500, 0.000, 0.500], [0.500, 0.500, 0.000]], "e_form_raw_ev_per_atom": -3.25, "density_g_cm3": 2.9, "e_above_lowest_polymorph_mev_per_atom": 2.6, "dft_energy_ev_per_atom": -4.932, "space_group": "No. 225"}

(4)
{"formula": "KNa2MgF6", "functional": "PBE", "state": "relaxed", "lattice_angstrom": [[5.852, 0.000, 0.000], [0.000, 6.232, 0.000], [-5.836, 0.000, 8.099]], "species": ["K", "K", "Na", "Na", "Na", "Na", "Mg", "Mg", "F", "F", "F", "F", "F", "F", "F", "F", "F", "F", "F", "F"], "fractional_positions": [[0.000, 0.000, 0.000], [0.000, 0.500, 0.500], [0.218, 0.038, 0.718], [0.218, 0.462, 0.218], [0.782, 0.538, 0.782], [0.782, 0.962, 0.282], [0.500, 0.000, 0.500], [0.500, 0.500, 0.000], [0.158, 0.137, 0.305], [0.158, 0.363, 0.805], [0.243, 0.654, 0.034], [0.243, 0.846, 0.534], [0.479, 0.249, 0.128], [0.479, 0.251, 0.628], [0.521, 0.749, 0.372], [0.521, 0.751, 0.872], [0.757, 0.154, 0.466], [0.757, 0.346, 0.966], [0.842, 0.637, 0.195], [0.842, 0.863, 0.695]], "e_form_raw_ev_per_atom": -2.67, "density_g_cm3": 2.5, "dft_energy_ev_per_atom": -4.331, "space_group": "No. 14"}

(5)
{"formula": "KNaMgF2", "functional": "PBE", "state": "relaxed", "lattice_angstrom": [[4.725, 0.000, 0.000], [0.000, 4.725, 0.000], [0.000, 0.000, 5.323]], "species": ["K", "Na", "Mg", "F", "F"], "fractional_positions": [[0.000, 0.000, 0.000], [0.500, 0.500, 0.500], [0.500, 0.500, 0.000], [0.000, 0.500, 0.500], [0.500, 0.000, 0.500]], "e_form_raw_ev_per_atom": -1.38, "density_g_cm3": 1.7, "dft_energy_ev_per_atom": -2.927, "space_group": "No. 123"}

(6)
{"formula": "KNaMg2F6", "functional": "PBE", "state": "relaxed", "lattice_angstrom": [[3.999, 0.000, 0.000], [0.000, 3.999, 0.000], [0.000, 0.000, 7.999]], "species": ["K", "Na", "Mg", "Mg", "F", "F", "F", "F", "F", "F"], "fractional_positions": [[0.000, 0.000, 0.000], [0.000, 0.000, 0.500], [0.500, 0.500, 0.254], [0.500, 0.500, 0.746], [0.000, 0.500, 0.257], [0.000, 0.500, 0.743], [0.500, 0.000, 0.257], [0.500, 0.000, 0.743], [0.500, 0.500, 0.000], [0.500, 0.500, 0.500]], "e_form_raw_ev_per_atom": -3.25, "density_g_cm3": 2.9, "e_above_lowest_polymorph_mev_per_atom": 0.0, "dft_energy_ev_per_atom": -4.935, "space_group": "No. 123"}